No. 1
Entry from Alexandria via LeMat-Bulk: Sm4Si3Au after structural relaxation (PBE).

The structure in extended XYZ format:
```
8
Lattice="-3.471 -2.350 1.097 -0.766 -0.686 -3.891 6.274 -9.095 0.370" Properties=species:S:1:pos:R:3 pbc="T T T"
Sm 0.167 -4.830 -1.262
Sm 4.988 -8.129 -1.629
Sm 0.896 -1.299 0.053
Sm 2.277 -6.992 0.785
Si 3.215 -5.559 -1.733
Si 2.708 -3.926 0.160
Si 4.021 -9.519 0.888
Au -1.651 -2.196 -1.369
```

Results
- Density: 7602 kg/m3
- ΔE_f (raw): -0.75 eV per atom
- E: -5.56 eV/atom
- Density of states at the Fermi level: 5.567 states/eV per cell

***

No. 2
Entry from Alexandria via LeMat-Bulk: Pu2TeP after structural relaxation (PBE).

The structure in extended XYZ format:
```
8
Lattice="4.174 0.000 0.000 0.000 6.010 0.000 0.000 0.000 8.567" Properties=species:S:1:pos:R:3 pbc="T T T"
Pu 0.000 0.000 7.216
Pu 0.000 0.000 3.411
Pu 2.087 3.005 5.156
Pu 2.087 3.005 1.351
Te 0.000 3.005 7.539
Te 2.087 0.000 1.028
P 2.087 0.000 5.325
P 0.000 3.005 3.242
```

Results
- Offset from the most stable computed form: 0.033 eV/atom
- Density: 9991 kg/m3
- ΔE_f (raw): -1.11 eV per atom
- E: -10.42 eV/atom
- Density of states at the Fermi level: 39.172 states/eV per cell

***

No. 3
Entry from Alexandria via LeMat-Bulk: Ti2InAs2 after structural relaxation (PBE).

The structure in extended XYZ format:
```
10
Lattice="-1.548 0.570 7.115 6.452 -3.001 1.645 1.424 3.095 0.062" Properties=species:S:1:pos:R:3 pbc="T T T"
As 4.676 -0.319 2.171
As 5.186 -0.632 6.056
As 1.652 0.983 6.650
As 1.142 1.295 2.765
Ti 4.992 -2.376 3.976
Ti 2.798 -1.430 7.172
Ti -0.088 -0.055 4.783
Ti 2.107 -1.001 1.588
In 0.000 0.000 0.000
In 2.452 -1.216 4.380
```

Results
- Offset from the most stable computed form: 0.000 eV/atom
- Density: 6585 kg/m3
- E: -6.04 eV/atom
- Calculated formation energy: -46 kJ per mole of atoms
- Density of states at the Fermi level: 6.637 states/eV per cell

***

No. 4
Entry from Alexandria via LeMat-Bulk: CuMoAu3 after structural relaxation (PBE).

The structure in extended XYZ format:
```
5
Lattice="5.044 0.000 0.000 0.000 5.044 0.000 0.000 0.000 5.044" Properties=species:S:1:pos:R:3 pbc="T T T"
Mo 0.000 0.000 0.000
Au 0.000 2.522 0.000
Au 0.000 0.000 2.522
Au 2.522 0.000 0.000
Cu 2.522 2.522 2.522
```

Results
- Offset from the most stable computed form: 0.376 eV/atom
- Density: 9712 kg/m3
- E: -3.59 eV/atom
- Calculated formation energy: 132 kJ per mole of atoms
- Density of states at the Fermi level: 3.561 states/eV per cell

***

No. 5
Entry from Alexandria via LeMat-Bulk: LaYVZn2 after structural relaxation (PBE).

The structure in extended XYZ format:
```
5
Lattice="5.048 0.000 0.000 0.000 4.872 0.000 0.000 0.000 5.048" Properties=species:S:1:pos:R:3 pbc="T T T"
Y 0.000 2.436 0.000
Zn 0.000 0.000 2.524
Zn 2.524 0.000 0.000
V 0.000 0.000 0.000
La 2.524 2.436 2.524
```

Results
- Density: 5479 kg/m3
- E: -4.29 eV/atom
- Calculated formation energy: 31 kJ per mole of atoms
- Density of states at the Fermi level: 5.645 states/eV per cell

***

No. 6
Entry from Alexandria via LeMat-Bulk: Ce2ErPb after structural relaxation (PBE).

The structure in extended XYZ format:
```
4
Lattice="-4.219 0.608 -3.521 -1.210 -4.029 -3.587 -4.601 -2.994 0.655" Properties=species:S:1:pos:R:3 pbc="T T T"
Pb 0.000 0.000 0.000
Ce -2.507 -1.604 -1.613
Ce -7.522 -4.811 -4.839
Er -5.015 -3.208 -3.226
```

Results
- Offset from the most stable computed form: 0.235 eV/atom
- Density: 9100 kg/m3
- E: -5.07 eV/atom
- Calculated formation energy: -3 kJ per mole of atoms
- Density of states at the Fermi level: 14.375 states/eV per cell